[1]
Entry from Alexandria via LeMat-Bulk: a relaxed Na2In8Cu crystal (GGA-PBE).

Lattice parameters (Å, degrees): 4.7321 4.7321 12.3803 90.00 90.00 90.00
With the nearest neighbours (Å) after each atom.
Positions (direct):
Na (0.0000, 0.0000, 0.1879)  12 In 3.31-3.35
Na (0.0000, 0.0000, 0.8121)  12 In 3.31-3.35
In (0.0000, 0.5000, 0.0000)  4 Na 3.32, 8 In 3.35
In (0.0000, 0.5000, 0.3751)  2 Cu 2.83, 1 In 3.09
In (0.0000, 0.5000, 0.6249)  2 Cu 2.83, 1 In 3.09
In (0.5000, 0.0000, 0.0000)  4 Na 3.32, 8 In 3.35
In (0.5000, 0.0000, 0.3751)  2 Cu 2.83, 1 In 3.09
In (0.5000, 0.0000, 0.6249)  2 Cu 2.83, 1 In 3.09
In (0.5000, 0.5000, 0.1919)  8 In 3.28-3.35, 4 Na 3.35
In (0.5000, 0.5000, 0.8081)  8 In 3.28-3.35, 4 Na 3.35
Cu (0.0000, 0.0000, 0.5000)  8 In 2.83

Computed properties:
The formation energy is -60 meV per atom. For the volume, the calculation gives 277 Å³/cell. As for the density of states at the Fermi level: 4.36 states/eV/cell. The raw total energy is -0.0979 hartree per atom. As for the space group: No. 123. As for the total magnetization: 0.000 μB per atom.

***

[2]
Entry from Alexandria via LeMat-Bulk: a relaxed MgGa3H crystal (GGA-PBE).

Lattice parameters (Å, degrees): 5.1632 5.1632 5.1632 90.00 90.00 90.00
With the nearest neighbours (Å) after each atom.
Positions (direct):
Mg (0.0000, 0.0000, 0.0000)  6 Ga 2.58
Ga (0.0000, 0.0000, 0.5000)  2 Mg 2.58
Ga (0.0000, 0.5000, 0.0000)  2 Mg 2.58
Ga (0.5000, 0.0000, 0.0000)  2 Mg 2.58
H (0.5000, 0.5000, 0.5000)  12 Ga 3.65

Computed properties:
For the volume, the calculation gives 138 Å³/cell. As for the density of states at the Fermi level: 2.80 states/eV/cell. The raw total energy is -0.0710 hartree per atom. As for the space group: No. 221. As for the total magnetization: 0.000 μB per atom. Its relative energy among the computed polymorphs is 738 meV/atom.

***

[3]
Entry from Alexandria via LeMat-Bulk: a relaxed TbZn2Hg crystal (GGA-PBE).

Lattice parameters (Å, degrees): 4.3912 4.3912 4.4067 90.00 90.00 90.00
With the nearest neighbours (Å) after each atom.
Positions (direct):
Tb (0.0000, 0.0000, 0.0000)  4 Hg 3.11, 8 Zn 3.11
Zn (0.0000, 0.5000, 0.5000)  4 Zn 3.11, 4 Hg 3.11, 4 Tb 3.11
Zn (0.5000, 0.0000, 0.5000)  4 Zn 3.11, 4 Hg 3.11, 4 Tb 3.11
Hg (0.5000, 0.5000, 0.0000)  4 Tb 3.11, 8 Zn 3.11

Computed properties:
The formation energy is -239 meV per atom. For the volume, the calculation gives 85 Å³/cell. As for the density of states at the Fermi level: 3.27 states/eV/cell. The raw total energy is -0.0775 hartree per atom. As for the space group: No. 123. As for the total magnetization: 0.000 μB per atom. Its relative energy among the computed polymorphs is 55 meV/atom.

***

[4]
Entry from Alexandria via LeMat-Bulk: a relaxed Ho2ZrNi crystal (GGA-PBE).

Lattice parameters (Å, degrees): 3.3942 3.3942 7.9236 90.00 90.00 90.00
With the nearest neighbours (Å) after each atom.
Positions (direct):
Ho (0.0000, 0.0000, 0.2070)  4 Ni 2.91
Ho (0.0000, 0.0000, 0.7930)  4 Ni 2.91
Zr (0.5000, 0.5000, 0.5000)  8 Ho 3.34, 4 Zr 3.39
Ni (0.5000, 0.5000, 0.0000)  8 Ho 2.91

Computed properties:
The formation energy is -142 meV per atom. For the volume, the calculation gives 91 Å³/cell. As for the density of states at the Fermi level: 5.27 states/eV/cell. The raw total energy is -0.2210 hartree per atom. As for the space group: No. 123. As for the total magnetization: 0.000 μB per atom. Its relative energy among the computed polymorphs is 0 meV/atom.

***

[5]
Entry from Alexandria via LeMat-Bulk: a relaxed Th2BeCu3 crystal (GGA-PBE).

Lattice parameters (Å, degrees): 8.6618 8.2692 5.5794 74.61 66.99 38.39
With the nearest neighbours (Å) after each atom.
Positions (direct):
Th (0.2426, 0.7574, 0.7574)  10 Cu 3.03-3.11, 2 Be 3.07, 1 Th 3.39
Th (0.2500, 0.2500, 0.2500)  8 Cu 3.02, 4 Be 3.06
Th (0.7500, 0.7500, 0.7500)  8 Cu 3.02, 4 Be 3.06
Th (0.7574, 0.2426, 0.2426)  10 Cu 3.03-3.11, 2 Be 3.07, 1 Th 3.39
Be (0.3338, 0.3338, 0.6662)  3 Cu 2.40-2.41
Be (0.6662, 0.6662, 0.3338)  3 Cu 2.40-2.41
Cu (0.1729, 0.1729, 0.8271)  1 Be 2.41, 2 Cu 2.62
Cu (0.1756, 0.6528, 0.3472)  1 Be 2.40, 2 Cu 2.57-2.62
Cu (0.3472, 0.8244, 0.1756)  1 Be 2.40, 2 Cu 2.57-2.62
Cu (0.6528, 0.1756, 0.8244)  1 Be 2.40, 2 Cu 2.57-2.62
Cu (0.8244, 0.3472, 0.6528)  1 Be 2.40, 2 Cu 2.57-2.62
Cu (0.8271, 0.8271, 0.1729)  1 Be 2.41, 2 Cu 2.62

Computed properties:
The formation energy is -126 meV per atom. For the volume, the calculation gives 228 Å³/cell. As for the density of states at the Fermi level: 8.98 states/eV/cell. The raw total energy is -0.1936 hartree per atom. As for the space group: No. 69. As for the total magnetization: 0.000 μB per atom.

***

[6]
Entry from Alexandria via LeMat-Bulk: a relaxed La4FeBr crystal (GGA-PBE).

Lattice parameters (Å, degrees): 6.4499 6.4499 6.4499 60.00 60.00 60.00
With the nearest neighbours (Å) after each atom.
Positions (direct):
La (0.3772, 0.3772, 0.3772)  6 La 3.17-3.28
La (0.3772, 0.3772, 0.8684)  6 La 3.17-3.28
La (0.3772, 0.8684, 0.3772)  6 La 3.17-3.28
La (0.8684, 0.3772, 0.3772)  6 La 3.17-3.28
Fe (0.7500, 0.7500, 0.7500)  12 La 3.78, 4 Br 3.95
Br (0.0000, 0.0000, 0.0000)  12 La 3.79, 4 Fe 3.95

Computed properties:
For the volume, the calculation gives 190 Å³/cell. As for the density of states at the Fermi level: 8.27 states/eV/cell. The raw total energy is -0.1646 hartree per atom. As for the space group: No. 216. As for the total magnetization: 0.290 μB per atom. Its formation energy without anion corrections is 0.49 eV per atom.